No. 1
# AlNi2Cl (PBE, optimized geometry)
# Energy above the lowest structure with this stoichiometry in meV/atom: 0.0
# Crystal system: monoclinic
# Energy relative to the elements, uncorrected in eV per atom: -0.26
data_AlNi2Cl
_chemical_formula_sum 'Al1 Ni2 Cl1'
_symmetry_space_group_name_H-M 'P 1'
_symmetry_Int_Tables_number 1
_symmetry_space_group_name_Hall 'P 1'
_cell_length_a 3.102
_cell_length_b 2.943
_cell_length_c 6.329
_cell_angle_alpha 90.00
_cell_angle_beta 90.15
_cell_angle_gamma 90.00
loop_
_atom_site_label
_atom_site_fract_x
_atom_site_fract_y
_atom_site_fract_z
Al1 0.000 0.000 0.000
Ni1 0.499 0.500 0.801
Ni2 0.501 0.500 0.199
Cl1 0.500 0.000 0.500

***

No. 2
# Al2NiCl (PBE, optimized geometry)
# Energy above the lowest structure with this stoichiometry in meV/atom: 694.7
# Crystal system: tetragonal
# Energy relative to the elements, uncorrected in eV per atom: 0.22
data_Al2NiCl
_chemical_formula_sum 'Al2 Ni1 Cl1'
_symmetry_space_group_name_H-M 'P 1'
_symmetry_Int_Tables_number 1
_symmetry_space_group_name_Hall 'P 1'
_cell_length_a 6.168
_cell_length_b 6.168
_cell_length_c 6.168
_cell_angle_alpha 146.38
_cell_angle_beta 146.38
_cell_angle_gamma 48.29
loop_
_atom_site_label
_atom_site_fract_x
_atom_site_fract_y
_atom_site_fract_z
Al1 0.000 0.000 0.000
Al2 0.750 0.250 0.500
Ni1 0.500 0.500 0.000
Cl1 0.250 0.750 0.500

***

No. 3
# AlNi2Cl (PBE, optimized geometry)
# Energy above the lowest structure with this stoichiometry in meV/atom: 481.6
# Crystal system: tetragonal
# Energy relative to the elements, uncorrected in eV per atom: 0.22
data_AlNi2Cl
_chemical_formula_sum 'Al1 Ni2 Cl1'
_symmetry_space_group_name_H-M 'P 1'
_symmetry_Int_Tables_number 1
_symmetry_space_group_name_Hall 'P 1'
_cell_length_a 4.399
_cell_length_b 4.399
_cell_length_c 4.399
_cell_angle_alpha 125.82
_cell_angle_beta 125.82
_cell_angle_gamma 80.19
loop_
_atom_site_label
_atom_site_fract_x
_atom_site_fract_y
_atom_site_fract_z
Al1 0.000 0.000 0.000
Ni1 0.250 0.750 0.500
Ni2 0.750 0.250 0.500
Cl1 0.500 0.500 0.000

***

No. 4
# AlNi2Cl (PBE, optimized geometry)
# Energy above the lowest structure with this stoichiometry in meV/atom: 127.1
# Crystal system: tetragonal
# Energy relative to the elements, uncorrected in eV per atom: -0.13
data_AlNi2Cl
_chemical_formula_sum 'Al1 Ni2 Cl1'
_symmetry_space_group_name_H-M 'P 1'
_symmetry_Int_Tables_number 1
_symmetry_space_group_name_Hall 'P 1'
_cell_length_a 3.008
_cell_length_b 3.008
_cell_length_c 6.068
_cell_angle_alpha 90.00
_cell_angle_beta 90.00
_cell_angle_gamma 90.00
loop_
_atom_site_label
_atom_site_fract_x
_atom_site_fract_y
_atom_site_fract_z
Al1 0.000 0.000 0.000
Ni1 0.500 0.500 0.209
Ni2 0.500 0.500 0.791
Cl1 0.000 0.000 0.500